The following is a GGA-PBE calculation of a relaxed structure of KCuWS4, from the Alexandria database.

Cell lengths 5.4760, 7.3845, 9.7958 Å; angles 90.00, 105.62, 90.00 degrees
Sites, in units of the cell vectors:
K  0.1809  0.2500  0.3441
K  0.8191  0.7500  0.6559
Cu  0.3597  0.7500  0.2213
Cu  0.6403  0.2500  0.7787
W  0.1409  0.2500  0.7783
W  0.8591  0.7500  0.2217
S  0.0045  0.7500  0.0322
S  0.1902  0.7500  0.4165
S  0.3771  0.0044  0.7811
S  0.3771  0.4956  0.7811
S  0.6229  0.5044  0.2189
S  0.6229  0.9956  0.2189
S  0.8098  0.2500  0.5835
S  0.9955  0.2500  0.9678

Volume in Å³/atom: 27.25
ΔE_f (raw) in meV/atom: -709
Size of the total moment in μB per formula unit: 0.0
SG: P2_1/m, No. 11
Total energy in eV/cell: -79.2

=====

The following is a GGA-PBE calculation of a relaxed structure of K2CuWS4, from the Alexandria database.

Cell lengths 13.4568, 11.9660, 7.2744 Å; angles 85.05, 62.36, 32.59 degrees
Sites, in units of the cell vectors:
K  0.0541  0.0541  0.6959
K  0.3041  0.3041  0.9459
K  0.6959  0.6959  0.0541
K  0.9459  0.9459  0.3041
Cu  0.1250  0.1250  0.1250
Cu  0.8750  0.8750  0.8750
W  0.3750  0.3750  0.3750
W  0.6250  0.6250  0.6250
S  0.0199  0.3404  0.4271
S  0.2875  0.5729  0.6596
S  0.3404  0.0199  0.7125
S  0.4271  0.7125  0.0199
S  0.5729  0.2875  0.9801
S  0.6596  0.9801  0.2875
S  0.7125  0.4271  0.3404
S  0.9801  0.6596  0.5729

Volume in Å³/atom: 26.88
ΔE_f (raw) in meV/atom: -779
Size of the total moment in μB per formula unit: 1.0
SG: Fddd, No. 70
Total energy in eV/cell: -84.0

=====

The following is a GGA-PBE calculation of a relaxed structure of KZnCuS2, from the Alexandria database.

Cell lengths 7.2825, 7.2825, 5.7601 Å; angles 90.00, 90.00, 131.52 degrees
Sites, in units of the cell vectors:
K  0.2500  0.7500  0.7555
K  0.7500  0.2500  0.2445
Zn  0.2500  0.2500  0.5000
Zn  0.7500  0.7500  0.5000
Cu  0.0000  0.0000  0.0000
Cu  0.5000  0.5000  0.0000
S  0.1062  0.8938  0.2837
S  0.3938  0.6062  0.2837
S  0.6062  0.3938  0.7163
S  0.8938  0.1062  0.7163

Volume in Å³/atom: 22.87
ΔE_f (raw) in meV/atom: -753
Size of the total moment in μB per formula unit: 0.0
SG: Cmme, No. 67
Total energy in eV/cell: -37.0

=====

The following is a GGA-PBE calculation of a relaxed structure of K4Zr3CuS8, from the Alexandria database.

Cell lengths 8.5396, 8.5396, 8.5396 Å; angles 53.12, 53.12, 53.12 degrees
Sites, in units of the cell vectors:
K  0.0000  0.0000  0.0000
K  0.0000  0.5000  0.5000
K  0.5000  0.0000  0.5000
K  0.5000  0.5000  0.0000
Zr  0.0000  0.0000  0.5000
Zr  0.0000  0.5000  0.0000
Zr  0.5000  0.0000  0.0000
Cu  0.5000  0.5000  0.5000
S  0.2265  0.7329  0.7329
S  0.2334  0.2334  0.2334
S  0.2671  0.2671  0.7735
S  0.2671  0.7735  0.2671
S  0.7329  0.2265  0.7329
S  0.7329  0.7329  0.2265
S  0.7666  0.7666  0.7666
S  0.7735  0.2671  0.2671

Volume in Å³/atom: 23.09
ΔE_f (raw) in meV/atom: -1310
Size of the total moment in μB per formula unit: 0.0
SG: R-3m, No. 166
Total energy in eV/cell: -88.1

=====

The following is a GGA-PBE calculation of a relaxed structure of K2ZrCuS4, from the Alexandria database.

Cell lengths 8.2395, 8.2395, 8.2395 Å; angles 124.12, 122.59, 84.28 degrees
Sites, in units of the cell vectors:
K  0.0000  0.0000  0.0000
K  0.5000  0.0000  0.0000
K  0.5000  0.0000  0.5000
K  0.5000  0.5000  0.5000
Zr  0.0000  0.0000  0.5000
Zr  0.0000  0.5000  0.0000
Cu  0.0000  0.5000  0.5000
Cu  0.5000  0.5000  0.0000
S  0.2051  0.2420  0.9631
S  0.2185  0.2784  0.5598
S  0.2185  0.6587  0.9402
S  0.2211  0.7580  0.4631
S  0.7789  0.2420  0.5369
S  0.7815  0.3413  0.0598
S  0.7815  0.7216  0.4402
S  0.7949  0.7580  0.0369

Volume in Å³/atom: 23.33
ΔE_f (raw) in meV/atom: -989
Size of the total moment in μB per formula unit: 0.7
SG: Imma, No. 74
Total energy in eV/cell: -78.5

=====

The following is a GGA-PBE calculation of a relaxed structure of KZrCu2S4, from the Alexandria database.

Cell lengths 6.4593, 6.4593, 6.4593 Å; angles 122.98, 108.39, 98.06 degrees
Sites, in units of the cell vectors:
K  0.0000  0.0000  0.0000
Zr  0.5000  0.5000  0.0000
Cu  0.3534  0.8534  0.5000
Cu  0.6466  0.1466  0.5000
S  0.1489  0.1043  0.5859
S  0.4817  0.8957  0.0446
S  0.5183  0.5629  0.4141
S  0.8511  0.4371  0.9554

Volume in Å³/atom: 24.67
ΔE_f (raw) in meV/atom: -781
Size of the total moment in μB per formula unit: 0.0
SG: I222, No. 23
Total energy in eV/cell: -40.6